[1]
CuTcSnTe | the Open Quantum Materials Database | PBE | optimized geometry; symmetry = F-43m, No. 216; final energy = -19.61 eV/cell; energy above the lowest structure with this stoichiometry = 0.0 meV per atom
1.0
0.0000 3.3278 3.3278
3.3278 0.0000 3.3278
3.3278 3.3278 0.0000
Cu Tc Sn Te
1 1 1 1
Direct
0.0000 0.0000 0.0000
0.5000 0.5000 0.5000
0.7500 0.7500 0.7500
0.2500 0.2500 0.2500


[2]
HoMgNp | the Open Quantum Materials Database | PBE | optimized geometry; symmetry = F-43m, No. 216; final energy = -15.39 eV/cell; energy above the lowest structure with this stoichiometry = 0.0 meV per atom
1.0
0.0000 3.4270 3.4270
3.4270 0.0000 3.4270
3.4270 3.4270 0.0000
Ho Mg Np
1 1 1
Direct
0.0000 0.0000 0.0000
0.2500 0.2500 0.2500
0.7500 0.7500 0.7500


[3]
PrNdAsO | the Open Quantum Materials Database | PBE | optimized geometry; symmetry = Pmc2_1, No. 26; final energy = -53.36 eV/cell; energy above the lowest structure with this stoichiometry = 11.8 meV per atom
1.0
4.3090 0.0000 0.0000
0.0000 8.0476 0.0000
0.0000 0.0000 6.0712
Pr Nd As O
2 2 2 2
Direct
0.0000 0.1121 0.0000
0.0000 0.8879 0.5000
0.5000 0.3002 0.4334
0.5000 0.6998 0.9334
0.5000 0.3396 0.9282
0.5000 0.6604 0.4282
0.0000 0.1777 0.3789
0.0000 0.8223 0.8789


[4]
HfTlTcNi | the Open Quantum Materials Database | PBE | optimized geometry; symmetry = F-43m, No. 216; final energy = -28.01 eV/cell; energy above the lowest structure with this stoichiometry = 0.0 meV per atom
1.0
0.0000 3.2347 3.2347
3.2347 0.0000 3.2347
3.2347 3.2347 0.0000
Hf Tl Tc Ni
1 1 1 1
Direct
0.0000 0.0000 0.0000
0.5000 0.5000 0.5000
0.2500 0.2500 0.2500
0.7500 0.7500 0.7500


[5]
Cu9As2 | the Open Quantum Materials Database | PBE | optimized geometry; symmetry = P-3m1, No. 164; final energy = -41.27 eV/cell
1.0
2.6391 0.0000 0.0000
-1.3195 2.2855 0.0000
0.0000 0.0000 31.8686
Cu As
9 2
Direct
0.0000 0.0000 0.0000
0.0000 0.0000 0.1887
0.0000 0.0000 0.8113
0.3333 0.6667 0.1261
0.3333 0.6667 0.7479
0.3333 0.6667 0.9367
0.6667 0.3333 0.0633
0.6667 0.3333 0.2521
0.6667 0.3333 0.8739
0.3333 0.6667 0.3198
0.6667 0.3333 0.6802


[6]
Tl2ZnHgCl6 | the Open Quantum Materials Database | PBE | optimized geometry; symmetry = Fm-3m, No. 225; final energy = -25.96 eV/cell
1.0
0.0000 5.1210 5.1210
5.1210 0.0000 5.1210
5.1210 5.1210 0.0000
Tl Zn Hg Cl
2 1 1 6
Direct
0.2500 0.2500 0.2500
0.7500 0.7500 0.7500
0.0000 0.0000 0.0000
0.5000 0.5000 0.5000
0.2400 0.2400 0.7600
0.2400 0.7600 0.2400
0.2400 0.7600 0.7600
0.7600 0.2400 0.2400
0.7600 0.2400 0.7600
0.7600 0.7600 0.2400


[7]
NaAgGe | the Open Quantum Materials Database | PBE | optimized geometry; symmetry = F-43m, No. 216; final energy = -7.29 eV/cell
1.0
0.0000 3.2815 3.2815
3.2815 0.0000 3.2815
3.2815 3.2815 0.0000
Na Ag Ge
1 1 1
Direct
0.0000 0.0000 0.0000
0.7500 0.7500 0.7500
0.2500 0.2500 0.2500


[8]
PrTlCdS3 | the Open Quantum Materials Database | PBE | optimized geometry; symmetry = P2_1/m, No. 11; final energy = -54.35 eV/cell; energy above the lowest structure with this stoichiometry = 0.0 meV per atom
1.0
7.3620 0.0000 0.0000
0.0000 4.2696 0.0000
-1.4388 0.0000 10.0797
Pr Tl Cd S
2 2 2 6
Direct
0.2466 0.2500 0.4269
0.7534 0.7500 0.5731
0.3606 0.7500 0.8207
0.6394 0.2500 0.1793
0.0543 0.7500 0.1255
0.9457 0.2500 0.8745
0.0211 0.2500 0.6405
0.2229 0.2500 0.0743
0.4770 0.7500 0.3527
0.5230 0.2500 0.6473
0.7771 0.7500 0.9257
0.9789 0.7500 0.3595